A) Here is a relaxed structure of K2IrF7 from Alexandria. Energies are from PBE.

## Properties
magnetization	0.00	μB per cell
SG	No. 15
calculated volume	325.7	Å³ per cell

```
20
Lattice="-1.895 -4.744 -3.771 5.446 -4.725 -2.139 -2.429 -6.592 4.168" Properties=species:S:1:pos:R:3 pbc="T T T"
F -1.124 -7.731 2.742
K 0.831 -8.973 1.103
F 3.973 -5.000 -2.554
F -1.678 -9.174 0.167
Ir 3.387 -5.418 -0.743
F 2.800 -6.887 -1.910
F -0.545 -11.612 -0.663
K -1.005 -4.135 -0.563
F -2.850 -11.061 0.811
F 2.247 -8.329 -4.485
F 1.668 -4.449 -1.079
F -1.328 -9.345 -2.112
K 2.128 -11.926 -1.180
F -0.577 -6.474 0.885
F 2.450 -6.715 0.370
F -2.229 -6.390 -2.025
F 3.351 -9.670 0.282
Ir -2.265 -10.642 -1.000
K 0.291 -7.088 -2.846
F 1.699 -9.587 -2.628
```

B) Here is a relaxed structure of K2IrF7 from Alexandria. Energies are from PBE.

## Properties
magnetization	2.00	μB per cell
SG	No. 225
calculated volume	182.2	Å³ per cell

```
10
Lattice="6.364 0.000 0.000 3.182 5.511 0.000 3.182 1.837 5.196" Properties=species:S:1:pos:R:3 pbc="T T T"
F 4.553 2.629 4.076
K 3.182 1.837 1.299
F 6.364 3.674 2.598
F 8.174 4.719 1.120
K 9.545 5.511 3.897
F 6.364 5.765 4.076
F 8.174 2.629 4.076
Ir 0.000 0.000 0.000
F 6.364 1.583 1.120
F 4.553 4.719 1.120
```

A) has the most favorable energy; the next structure is 148 meV per atom above.